Entry 1:
The following is a GGA-PBE calculation of BaLiN2F after structural relaxation, from the Alexandria database.

Computed properties:
- Density of states at the Fermi level: 0.766 states/eV per atom
- Magnetic moment: 1.97 μB per cell
- Polymorph energy (0 for the lowest one): 0.7215 eV per atom

Cell: 4.8090 4.8090 5.0672 Å, 90.00 90.00 90.00°
Site moments in Bohr magnetons follow the coordinates.
Positions (direct):
Li1 0.5000 0.5000 0.5000  -0.01
N1 0.5000 0.0000 0.0000  0.66
F1 0.0000 0.0000 0.5000  0.01
Ba1 0.0000 0.0000 0.0000  -0.03
N2 0.0000 0.5000 0.0000  0.66

Entry 2:
The following is a GGA-PBE calculation of BAuNO2 after structural relaxation, from the Alexandria database.

Computed properties:
- Uncorrected energy: -3.64 eV per atom
- Density of states at the Fermi level: 0.835 states/eV per atom
- Magnetic moment: 0.15 μB per cell

Cell: 4.1907 4.1907 3.7725 Å, 90.00 90.00 90.00°
Site moments in Bohr magnetons follow the coordinates.
Positions (direct):
B1 0.5000 0.5000 0.5000  0.00
O1 0.0000 0.5000 0.0000  0.03
Au1 0.0000 0.0000 0.0000  0.01
O2 0.5000 0.0000 0.0000  0.03
N1 0.0000 0.0000 0.5000  0.06

Entry 3:
The following is a GGA-PBE calculation of ScTcPt after structural relaxation, from the Alexandria database.

Computed properties:
- Density of states at the Fermi level: 0.756 states/eV per atom
- DFT formation energy: -0.580 eV per atom
- Magnetic moment: 0.00 μB per cell
- Polymorph energy (0 for the lowest one): 0.0000 eV per atom

Cell: 5.7463 4.2000 8.3436 Å, 90.00 100.31 90.00°
Positions (direct):
Sc1 0.8405 0.5000 0.0156
Tc1 0.1388 0.0000 0.1723
Tc2 0.0159 0.0000 0.8475
Sc2 0.4796 0.0000 0.8343
Pt1 0.6540 0.0000 0.1784
Tc3 0.0159 0.5000 0.3475
Pt2 0.6540 0.5000 0.6784
Pt3 0.3349 0.0000 0.5080
Sc3 0.4796 0.5000 0.3343
Tc4 0.1388 0.5000 0.6723
Sc4 0.8405 0.0000 0.5157
Pt4 0.3349 0.5000 0.0080

Entry 4:
The following is a GGA-PBE calculation of Tb3Pm2SmS6 after structural relaxation, from the Alexandria database.

Computed properties:
- Uncorrected energy: -6.43 eV per atom
- Density of states at the Fermi level: 0.432 states/eV per atom
- Magnetic moment: 0.00 μB per cell

Cell: 6.8787 6.8787 6.9078 Å, 99.52 99.52 120.18°
Positions (direct):
Pm1 0.3333 0.6667 0.0000
Pm2 0.6667 0.3333 0.0000
Tb1 0.1673 0.8327 0.5000
S1 0.5816 0.9136 0.7409
S2 0.9136 0.5816 0.7409
S3 0.7546 0.7546 0.2596
S4 0.2454 0.2454 0.7404
S5 0.0864 0.4184 0.2591
Tb2 0.8327 0.1673 0.5000
Tb3 0.5000 0.5000 0.5000
S6 0.4184 0.0864 0.2591
Sm1 0.0000 0.0000 0.0000

Entry 5:
The following is a GGA-PBE calculation of SiPb after structural relaxation, from the Alexandria database.

Computed properties:
- Uncorrected energy: -4.13 eV per atom
- Density of states at the Fermi level: 0.467 states/eV per atom
- Magnetic moment: 0.00 μB per cell

Cell: 12.1755 4.5104 6.0185 Å, 90.00 90.00 90.00°
Positions (direct):
Pb1 0.1829 0.3109 0.1603
Pb2 0.6829 0.6891 0.6603
Si1 0.3303 0.8099 0.1648
Si2 0.1697 0.1901 0.6648
Pb3 0.8171 0.3109 0.1603
Pb4 0.5000 0.2050 0.3423
Si3 0.6697 0.8099 0.1648
Pb5 0.0000 0.7950 0.8423
Si4 0.8303 0.1901 0.6648
Si5 0.0000 0.3535 0.5094
Si6 0.5000 0.6465 0.0094
Pb6 0.3171 0.6891 0.6603

Entry 6:
The following is a GGA-PBE calculation of K3ZrH2SO5F5 after structural relaxation, from the Alexandria database.

Computed properties:
- Uncorrected energy: -5.76 eV per atom
- Density of states at the Fermi level: 0.000 states/eV per atom
- Magnetic moment: 0.48 μB per cell

Cell: 16.8204 6.8604 11.2814 Å, 52.97 90.00 90.00°
Positions (direct):
F1 0.3116 0.3151 0.1887
F2 0.6389 0.5160 0.5055
Zr1 0.8067 0.7706 0.8036
O1 0.0933 0.9632 0.2230
H1 0.9454 0.5944 0.0663
F3 0.8611 0.5160 0.0055
F4 0.8116 0.6849 0.3113
K1 0.8374 0.2888 0.3203
O2 0.9229 0.8076 0.6856
Zr2 0.3067 0.2294 0.6964
Zr3 0.6933 0.7706 0.3036
F5 0.6903 0.4876 0.2848
K2 0.1174 0.9386 0.9663
K3 0.3374 0.7112 0.1797
H2 0.5105 0.5177 0.3113
O3 0.9067 0.0368 0.7770
H3 0.5546 0.5944 0.5663
H4 0.0105 0.4823 0.1887
K4 0.1626 0.7112 0.6797
F6 0.1884 0.3151 0.6887
H5 0.9895 0.5177 0.8113
O4 0.0213 0.3689 0.8774
O5 0.0771 0.1924 0.3144
O6 0.5771 0.8076 0.1856
S1 0.5389 0.0201 0.1757
H6 0.4454 0.4056 0.4337
O7 0.5213 0.6311 0.6226
K5 0.6174 0.0614 0.5337
O8 0.9568 0.2463 0.5229
O9 0.4787 0.3689 0.3774
S2 0.9611 0.0201 0.6757
K6 0.6626 0.2888 0.8203
K7 0.6150 0.5835 0.0477
K8 0.8850 0.5835 0.5477
F7 0.2405 0.1087 0.0831
O10 0.9787 0.6311 0.1226
K9 0.3850 0.4165 0.9523
O11 0.4568 0.7537 0.9771
F8 0.7769 0.0786 0.6001
F9 0.7231 0.0786 0.1001
F10 0.6884 0.6849 0.8113
F11 0.2231 0.9214 0.3999
O12 0.4569 0.9598 0.2304
K10 0.8826 0.0614 0.0337
O13 0.5933 0.0368 0.2770
K11 0.1150 0.4165 0.4523
O14 0.4229 0.1924 0.8144
S3 0.4611 0.9799 0.8243
F12 0.1389 0.4840 0.9945
F13 0.7405 0.8913 0.4169
F14 0.2595 0.1087 0.5831
F15 0.7595 0.8913 0.9169
O15 0.4067 0.9632 0.7230
F16 0.2769 0.9214 0.8999
O16 0.0431 0.9598 0.7304
H7 0.0546 0.4056 0.9337
Zr4 0.1933 0.2294 0.1964
S4 0.0389 0.9799 0.3243
H8 0.4895 0.4823 0.6887
F17 0.8097 0.4876 0.7848
F18 0.1903 0.5124 0.2152
O17 0.5432 0.2463 0.0229
O18 0.9569 0.0402 0.2696
O19 0.5431 0.0402 0.7696
K12 0.3826 0.9386 0.4663
O20 0.0432 0.7537 0.4771
F19 0.3611 0.4840 0.4945
F20 0.3097 0.5124 0.7152

Entry 7:
The following is a GGA-PBE calculation of Ba7Na2Sr2 after structural relaxation, from the Alexandria database.

Computed properties:
- Density of states at the Fermi level: 1.190 states/eV per atom
- DFT formation energy: 0.048 eV per atom
- Magnetic moment: 0.00 μB per cell
- Polymorph energy (0 for the lowest one): 0.0000 eV per atom

Cell: 7.4067 7.4067 13.6064 Å, 83.03 83.03 117.05°
Positions (direct):
Na1 0.7171 0.7171 0.5921
Ba1 0.8265 0.8265 0.3093
Na2 0.2829 0.2829 0.4079
Ba2 0.0000 0.0000 0.0000
Ba3 0.4381 0.7853 0.8312
Sr1 0.7494 0.2506 0.5000
Ba4 0.1735 0.1735 0.6907
Ba5 0.2147 0.5619 0.1688
Sr2 0.2506 0.7494 0.5000
Ba6 0.7853 0.4381 0.8312
Ba7 0.5619 0.2147 0.1688

Entry 8:
The following is a GGA-PBE calculation of Pm4In2N after structural relaxation, from the Alexandria database.

Computed properties:
- Density of states at the Fermi level: 0.922 states/eV per atom
- Magnetic moment: 0.00 μB per cell
- Polymorph energy (0 for the lowest one): 0.2572 eV per atom

Cell: 3.4837 5.1808 12.2110 Å, 102.25 90.00 90.00°
Positions (direct):
Pm1 0.5000 0.5676 0.1353
N1 0.0000 0.5000 0.0000
Pm2 0.0000 0.2968 0.5936
Pm3 0.0000 0.7032 0.4064
In1 0.5000 0.8390 0.6780
Pm4 0.5000 0.4324 0.8647
In2 0.5000 0.1610 0.3220